1.
{"formula": "Nd3Tm3Te2Pt", "functional": "PBE", "state": "relaxed", "lattice": [[-4.1622, -0.7084, 7.2997], [8.2430, -1.7462, -0.3402], [0.8576, 3.8798, 0.8655]], "species": ["Nd", "Nd", "Nd", "Pt", "Te", "Te", "Tm", "Tm", "Tm"], "fractional_positions": [[0.4051, 0.0000, 0.0000], [0.0000, 0.4051, 0.0000], [0.5949, 0.5949, 0.0000], [0.0000, 0.0000, 0.0000], [0.6667, 0.3333, 0.5000], [0.3333, 0.6667, 0.5000], [0.7624, 0.0000, 0.5000], [0.2376, 0.2376, 0.5000], [0.0000, 0.7624, 0.5000]], "relative_energy_mev_per_atom": 0, "total_magnetization_mub_per_cell": 0.0, "total_energy_ev_per_atom": -5.413, "mass_density_g_cm3": 9.2}

---

2.
{"formula": "ThCu2P2", "functional": "PBE", "state": "relaxed", "lattice": [[-6.4200, 6.2192, 0.9450], [-2.5200, -2.3290, -1.7923], [-2.5298, -3.9274, 8.6602]], "species": ["Cu", "Cu", "Cu", "Cu", "Cu", "Cu", "Cu", "Cu", "P", "P", "P", "P", "P", "P", "P", "P", "Th", "Th", "Th", "Th"], "fractional_positions": [[0.4288, 0.7500, 0.0479], [0.0560, 0.2500, 0.0967], [0.5560, 0.2500, 0.4033], [0.9288, 0.7500, 0.4521], [0.0712, 0.2500, 0.5479], [0.4440, 0.7500, 0.5967], [0.9440, 0.7500, 0.9033], [0.5712, 0.2500, 0.9521], [0.1742, 0.7500, 0.0262], [0.4749, 0.2500, 0.1813], [0.9749, 0.2500, 0.3187], [0.6742, 0.7500, 0.4738], [0.3258, 0.2500, 0.5262], [0.0251, 0.7500, 0.6813], [0.5251, 0.7500, 0.8187], [0.8258, 0.2500, 0.9738], [0.7495, 0.7500, 0.1861], [0.2495, 0.7500, 0.3139], [0.7505, 0.2500, 0.6861], [0.2505, 0.2500, 0.8139]], "total_magnetization_mub_per_cell": 0.0, "total_energy_ev_per_atom": -5.923, "mass_density_g_cm3": 8.2}

---

3.
{"formula": "TcAgMo2", "functional": "PBE", "state": "relaxed", "lattice": [[2.6754, -3.5104, -0.7529], [2.8555, -1.3590, 3.1696], [-0.7148, -3.8615, 2.1507]], "species": ["Ag", "Mo", "Mo", "Tc"], "fractional_positions": [[0.0000, 0.0000, 0.0000], [0.5000, 0.5000, 0.5000], [0.7500, 0.7500, 0.7500], [0.2500, 0.2500, 0.2500]], "total_magnetization_mub_per_cell": 0.3, "total_energy_ev_per_atom": -8.175, "mass_density_g_cm3": 10.4}

---

4.
{"formula": "TbSbN2O", "functional": "PBE", "state": "relaxed", "lattice": [[-2.1925, 4.3724, -2.4927], [0.0888, -4.9232, -2.6742], [-3.1570, -2.2945, 4.4913]], "species": ["N", "N", "N", "N", "O", "O", "Sb", "Sb", "Tb", "Tb"], "fractional_positions": [[0.2336, 0.4495, 0.2592], [0.4811, 0.0268, 0.2781], [0.1706, 0.1954, 0.7263], [0.7636, 0.5573, 0.7322], [0.8281, 0.7894, 0.2595], [0.5392, 0.9703, 0.7553], [0.3131, 0.1760, 0.4557], [0.6907, 0.8434, 0.5402], [0.7201, 0.3617, 0.0970], [0.2598, 0.6303, 0.8965]], "total_magnetization_mub_per_cell": 0.0, "total_energy_ev_per_atom": -7.041, "mass_density_g_cm3": 7.9}